The following is a PBE calculation of an optimized crystal structure of Co2Sn2Hg, from the Alexandria database.

a b c (Å): 7.787 7.787 2.919
angles (deg): 90.00 90.00 90.00
Element x y z (fractional)
1 Co 0.137 0.637 0.500
2 Co 0.637 0.863 0.500
3 Co 0.863 0.363 0.500
4 Co 0.363 0.137 0.500
5 Hg 0.000 0.000 0.000
6 Hg 0.500 0.500 0.000
7 Sn 0.347 0.847 0.000
8 Sn 0.847 0.653 0.000
9 Sn 0.653 0.153 0.000
10 Sn 0.153 0.347 0.000

Calculated values
DOS(E_F): 7.35 states/eV per cell
E above lowest polymorph: 162 meV/atom
calculated formation energy: 0.278 eV/atom